First-principles (PBE-GGA) data for a relaxed Sn2Mo2Pb crystal, as listed in the Alexandria database.

Structure (POSCAR):
```
Sn2Mo2Pb
1.0
7.4989 0.0000 0.0000
0.0000 7.4989 0.0000
0.0000 0.0000 3.6896
Pb Mo Sn
2 4 4
Cartesian
0.0000 0.0000 0.0000
3.7495 3.7495 0.0000
2.6738 6.4232 0.0000
6.4232 4.8251 0.0000
4.8251 1.0757 0.0000
1.0757 2.6738 0.0000
1.1311 4.8806 1.8448
4.8806 6.3678 1.8448
6.3678 2.6184 1.8448
2.6184 1.1311 1.8448
```

Values from the calculation:
The size of the total moment comes out at 0.000 μB/atom. The density of states at the Fermi level comes out at 0.81 states/eV per atom. As for the space-group type: P4/mbm (127). The formation energy is 189 kJ/mol of formula units. The volume is 207.5 Å³ per cell. The calculation puts the total energy at -6.283 eV/atom.